No. 1
This record from Alexandria via LeMat-Bulk describes crystalline BaCeAg2 at its relaxed geometry. The functional is PBE.

POSCAR file:
```
BaCeAg2
1.0
3.915 0.000 0.000
0.000 3.915 0.000
0.000 0.000 7.882
Ba Ce Ag
1 1 2
Cartesian
0.000 0.000 0.000
0.000 0.000 3.941
1.958 1.958 2.345
1.958 1.958 5.537
```

## Properties
E_form in eV/atom: -0.128
Excess energy over the best structure of this formula in the dataset in eV/atom: 0.0000

No. 2
This record from Alexandria via LeMat-Bulk describes crystalline BaCeAg2F8 at its relaxed geometry. The functional is PBE.

POSCAR file:
```
BaCeAg2F8
1.0
6.188 0.000 0.000
-3.094 5.359 0.000
0.000 0.000 7.784
Ba Ce Ag F
1 1 2 8
Cartesian
0.000 0.000 0.000
0.000 0.000 3.892
0.000 3.573 1.178
3.094 1.786 6.606
0.000 1.584 2.383
-1.723 4.567 2.383
1.372 0.792 5.400
0.000 3.573 6.857
3.094 1.786 0.927
1.723 4.567 2.383
4.817 0.792 5.400
3.094 3.775 5.400
```

## Properties
Formation energy without anion corrections in eV/f.u.: -31.76

No. 3
This record from Alexandria via LeMat-Bulk describes crystalline BaCeAg2I8 at its relaxed geometry. The functional is PBE.

POSCAR file:
```
BaCeAg2I8
1.0
7.631 0.000 0.000
-1.341 7.958 0.000
-0.016 -3.349 9.295
Ba Ce Ag I
1 1 2 8
Cartesian
0.000 0.000 0.000
-0.008 -1.674 4.647
2.723 4.605 1.608
3.552 0.004 7.687
-0.153 5.256 1.978
-0.084 3.961 6.120
2.434 0.036 5.105
2.835 1.855 0.676
3.440 2.754 8.619
3.840 4.573 4.190
6.359 0.648 3.174
6.428 -0.647 7.317
```

## Properties
Formation energy without anion corrections in eV/f.u.: -11.75

No. 4
This record from Alexandria via LeMat-Bulk describes crystalline Ba3CeAg2O6 at its relaxed geometry. The functional is PBE.

POSCAR file:
```
Ba3CeAg2O6
1.0
6.367 0.000 0.000
-3.183 5.514 0.000
0.000 0.000 6.912
Ba Ce Ag O
3 1 2 6
Cartesian
0.000 0.000 0.000
0.000 3.676 4.225
3.183 1.838 2.687
0.000 0.000 3.456
0.000 3.676 0.903
3.183 1.838 6.009
0.000 1.788 2.125
-1.634 4.619 2.125
1.549 0.894 4.787
1.634 4.619 2.125
4.818 0.894 4.787
3.183 3.725 4.787
```

## Properties
Formation energy without anion corrections in eV/f.u.: -23.75

No. 5
This record from Alexandria via LeMat-Bulk describes crystalline Ba2CeAg2O6 at its relaxed geometry. The functional is PBE.

POSCAR file:
```
Ba2CeAg2O6
1.0
3.221 1.860 5.848
-3.221 1.860 5.848
0.000 -3.720 5.848
Ba Ce Ag O
2 1 2 6
Cartesian
0.000 0.000 3.688
0.000 0.000 13.854
0.000 0.000 0.000
0.000 0.000 7.328
0.000 0.000 10.214
-1.810 -1.045 10.157
0.000 -2.090 7.386
-1.810 1.045 7.386
1.810 -1.045 10.157
0.000 2.090 10.157
1.810 1.045 7.386
```

## Properties
Formation energy without anion corrections in eV/f.u.: -19.17

No. 6
This record from Alexandria via LeMat-Bulk describes crystalline BaCeAgPb at its relaxed geometry. The functional is PBE.

POSCAR file:
```
BaCeAgPb
1.0
0.000 4.049 4.049
4.049 0.000 4.049
4.049 4.049 0.000
Ba Ce Ag Pb
1 1 1 1
Cartesian
0.000 0.000 0.000
4.049 4.049 4.049
6.073 6.073 6.073
2.024 2.024 2.024
```

## Properties
E_form in eV/atom: -0.238

No. 7
This record from Alexandria via LeMat-Bulk describes crystalline Ba2CeAgS5 at its relaxed geometry. The functional is PBE.

POSCAR file:
```
Ba2CeAgS5
1.0
2.095 -9.116 0.000
2.095 9.116 0.000
0.000 0.000 12.776
Ba Ce Ag S
4 2 2 10
Cartesian
2.095 7.001 6.388
2.095 6.822 1.720
2.095 -6.822 8.108
2.095 -7.001 0.000
2.095 5.476 10.563
2.095 -5.476 4.175
2.095 0.859 3.298
2.095 -0.859 9.685
2.095 8.283 10.975
2.095 3.740 5.970
2.095 3.515 2.358
2.095 2.816 10.469
2.095 0.048 7.419
2.095 -0.048 1.032
2.095 -2.816 4.082
2.095 -3.515 8.746
2.095 -3.740 12.357
2.095 -8.283 4.587
```

## Properties
Formation energy without anion corrections in eV/f.u.: -13.52

No. 8
This record from Alexandria via LeMat-Bulk describes crystalline BaCeAgS3 at its relaxed geometry. The functional is PBE.

POSCAR file:
```
BaCeAgS3
1.0
8.657 0.000 0.000
0.000 4.202 0.000
-2.277 0.000 8.925
Ba Ce Ag S
2 2 2 6
Cartesian
1.139 1.050 2.102
5.241 3.151 6.823
0.935 3.151 7.459
5.445 1.050 1.466
-0.550 1.050 5.255
6.930 3.151 3.670
-1.019 1.050 7.756
0.859 3.151 4.610
3.483 3.151 1.376
2.897 1.050 7.549
5.521 1.050 4.315
7.399 3.151 1.169
```

## Properties
Formation energy without anion corrections in eV/f.u.: -9.39

No. 9
This record from Alexandria via LeMat-Bulk describes crystalline BaCeAg2S4 at its relaxed geometry. The functional is PBE.

POSCAR file:
```
BaCeAg2S4
1.0
-3.433 3.650 4.143
3.433 -3.650 4.143
3.433 3.650 -4.143
Ba Ce Ag S
1 1 2 4
Cartesian
0.000 0.000 0.000
0.000 0.000 4.143
3.433 0.000 2.648
0.000 3.650 1.496
1.924 2.122 -1.560
1.508 -1.528 5.703
1.508 1.528 2.583
1.924 5.178 1.560
```

## Properties
Formation energy without anion corrections in eV/f.u.: -9.12

No. 10
This record from Alexandria via LeMat-Bulk describes crystalline BaCeAgSe4 at its relaxed geometry. The functional is PBE.

POSCAR file:
```
BaCeAgSe4
1.0
7.526 0.000 0.000
0.000 5.868 0.000
-3.036 0.000 8.786
Ba Ce Ag Se
2 2 2 8
Cartesian
0.472 1.467 3.893
4.018 4.401 4.892
-1.153 1.467 8.252
5.643 4.401 0.534
1.269 4.401 1.715
3.221 1.467 7.071
-0.789 4.401 3.215
-2.286 4.401 7.947
1.115 3.036 6.884
1.115 5.766 6.884
3.374 0.102 1.901
3.374 2.832 1.901
6.776 1.467 0.839
5.279 1.467 5.570
```

## Properties
Formation energy without anion corrections in eV/f.u.: -9.09

No. 11
This record from Alexandria via LeMat-Bulk describes crystalline BaCe2AgSe5 at its relaxed geometry. The functional is PBE.

POSCAR file:
```
BaCe2AgSe5
1.0
-4.051 4.051 7.494
4.051 -4.051 7.494
4.051 4.051 -7.494
Ba Ce Ag Se
2 4 2 10
Cartesian
0.000 0.000 3.747
0.000 0.000 11.241
5.324 1.273 0.000
1.273 2.778 0.000
2.778 1.273 7.494
-1.273 2.778 7.494
4.051 0.000 3.747
0.000 4.051 3.747
0.000 0.000 0.000
2.785 1.265 -1.877
2.785 -1.265 5.617
2.785 1.265 1.877
2.785 -1.265 9.370
0.000 0.000 7.494
1.265 5.316 -1.877
1.265 2.785 5.617
1.265 5.316 1.877
1.265 2.785 9.370
```

## Properties
Formation energy without anion corrections in eV/f.u.: -13.73

No. 12
This record from Alexandria via LeMat-Bulk describes crystalline Ba3CeAg2Se6 at its relaxed geometry. The functional is PBE.

POSCAR file:
```
Ba3CeAg2Se6
1.0
7.898 0.000 0.000
-3.949 6.840 0.000
0.000 0.000 8.230
Ba Ce Ag Se
3 1 2 6
Cartesian
0.000 0.000 0.000
0.000 4.560 4.826
3.949 2.280 3.403
0.000 0.000 4.115
0.000 4.560 1.259
3.949 2.280 6.971
0.000 2.242 2.408
-2.007 5.718 2.408
1.942 1.121 5.822
2.007 5.718 2.408
5.956 1.121 5.822
3.949 4.597 5.822
```

## Properties
Formation energy without anion corrections in eV/f.u.: -14.94

No. 13
This record from Alexandria via LeMat-Bulk describes crystalline BaAg2Cl at its relaxed geometry. The functional is PBE.

POSCAR file:
```
BaAg2Cl
1.0
-4.760 4.760 2.887
4.760 -4.760 2.887
4.760 4.760 -2.887
Ba Ag Cl
2 4 2
Cartesian
0.000 0.000 0.000
0.000 4.760 1.444
2.380 2.550 -0.722
6.970 2.380 0.722
2.380 2.210 2.166
-2.210 2.380 3.609
4.760 0.000 1.444
0.000 0.000 2.887
```

## Properties
Formation energy without anion corrections in eV/f.u.: -2.30
Excess energy over the best structure of this formula in the dataset in eV/atom: 0.1910

No. 14
This record from Alexandria via LeMat-Bulk describes crystalline BaAg2Cl5 at its relaxed geometry. The functional is PBE.

POSCAR file:
```
BaAg2Cl5
1.0
-3.796 3.796 6.851
3.796 -3.796 6.851
3.796 3.796 -6.851
Ba Ag Cl
2 4 10
Cartesian
0.000 0.000 3.425
0.000 0.000 10.276
5.080 1.284 0.000
1.284 2.513 0.000
2.513 1.284 6.851
-1.284 2.513 6.851
0.000 0.000 0.000
2.601 1.196 -1.873
2.601 -1.196 4.978
2.601 1.196 1.873
2.601 -1.196 8.724
0.000 0.000 6.851
1.196 4.992 -1.873
1.196 2.601 4.978
1.196 4.992 1.873
1.196 2.601 8.724
```

## Properties
Formation energy without anion corrections in eV/f.u.: -8.59

No. 15
This record from Alexandria via LeMat-Bulk describes crystalline Ba2AgCl at its relaxed geometry. The functional is PBE.

POSCAR file:
```
Ba2AgCl
1.0
8.194 -2.149 0.000
8.194 2.149 0.000
-0.001 0.000 4.533
Ba Ag Cl
2 1 1
Cartesian
0.000 0.000 0.000
12.256 0.000 2.276
5.469 0.000 0.011
9.097 0.000 2.267
```

## Properties
Formation energy without anion corrections in eV/f.u.: -3.80
Excess energy over the best structure of this formula in the dataset in eV/atom: 0.0533

No. 16
This record from Alexandria via LeMat-Bulk describes crystalline BaAgCl6 at its relaxed geometry. The functional is PBE.

POSCAR file:
```
BaAgCl6
1.0
4.916 2.839 2.630
-4.916 2.839 2.630
0.000 -5.677 2.630
Ba Ag Cl
1 1 6
Cartesian
0.000 0.000 0.000
0.000 0.000 3.945
0.000 -2.000 2.437
-1.732 1.000 2.437
-1.732 -1.000 5.453
1.732 1.000 2.437
1.732 -1.000 5.453
0.000 2.000 5.453
```

## Properties
Formation energy without anion corrections in eV/f.u.: -7.63

No. 17
This record from Alexandria via LeMat-Bulk describes crystalline BaAg3Cl8 at its relaxed geometry. The functional is PBE.

POSCAR file:
```
BaAg3Cl8
1.0
6.591 0.000 0.000
-3.296 5.708 0.000
0.000 0.000 8.558
Ba Ag Cl
1 3 8
Cartesian
0.000 0.000 0.000
0.000 0.000 4.279
0.000 3.806 6.161
3.296 1.903 2.397
-0.804 1.799 2.695
-1.336 5.505 2.695
1.156 1.596 5.864
0.000 3.806 0.092
3.296 1.903 8.466
2.140 4.112 2.695
4.631 0.203 5.864
4.100 3.909 5.864
```

## Properties
Formation energy without anion corrections in eV/f.u.: -9.27

No. 18
This record from Alexandria via LeMat-Bulk describes crystalline BaAg4Cl at its relaxed geometry. The functional is PBE.

POSCAR file:
```
BaAg4Cl
1.0
0.000 4.142 4.142
4.142 0.000 4.142
4.142 4.142 0.000
Ba Ag Cl
1 4 1
Cartesian
0.000 0.000 0.000
3.113 3.113 3.113
5.171 5.171 3.113
5.171 3.113 5.171
3.113 5.171 5.171
6.213 6.213 6.213
```

## Properties
Formation energy without anion corrections in eV/f.u.: -1.92

No. 19
This record from Alexandria via LeMat-Bulk describes crystalline BaAg2Cl at its relaxed geometry. The functional is PBE.

POSCAR file:
```
BaAg2Cl
1.0
0.000 3.889 3.889
3.889 0.000 3.889
3.889 3.889 0.000
Ba Ag Cl
1 2 1
Cartesian
0.000 0.000 0.000
1.944 1.944 1.944
5.833 5.833 5.833
3.889 3.889 3.889
```

## Properties
Formation energy without anion corrections in eV/f.u.: -0.81
Excess energy over the best structure of this formula in the dataset in eV/atom: 0.5645

No. 20
This record from Alexandria via LeMat-Bulk describes crystalline BaAg5Cl11 at its relaxed geometry. The functional is PBE.

POSCAR file:
```
BaAg5Cl11
1.0
4.613 -6.919 0.000
4.613 6.919 0.000
-3.255 0.000 7.442
Ba Ag Cl
1 5 11
Cartesian
0.000 0.000 0.000
-0.127 2.037 4.647
-0.127 -2.037 4.647
4.613 0.000 0.000
6.100 2.037 2.795
6.100 -2.037 2.795
-1.627 0.000 3.721
0.906 4.449 5.125
-0.634 1.773 7.005
5.066 4.449 2.317
-0.634 -1.773 7.005
1.970 0.000 5.114
4.002 0.000 2.328
6.606 1.773 0.437
0.906 -4.449 5.125
6.606 -1.773 0.437
5.066 -4.449 2.317
```

## Properties
Formation energy without anion corrections in eV/f.u.: -11.58